Entry 1:
## Ca2LaCdRh (GGA-PBE)

Data for crystalline Ca2LaCdRh at its relaxed geometry.

Calculated values
- V (Å³/cell) = 168
- energy of formation from the pure elements (eV/atom) = -0.320

a b c (Å): 5.5641 5.5641 5.4161
angles (deg): 90.00 90.00 90.00
Last column: nearest neighbours and their distance in Å.
Atoms (fractional coordinates):
Ca: 0.0000 0.5000 0.0000  2 Rh 2.78
Ca: 0.5000 0.0000 0.0000  2 Rh 2.78
La: 0.0000 0.0000 0.5000  2 Rh 2.71
Cd: 0.5000 0.5000 0.5000  8 Ca 3.88, 4 La 3.93
Rh: 0.0000 0.0000 0.0000  2 La 2.71, 4 Ca 2.78

---

Entry 2:
## CaLaCd2Rh (GGA-PBE)

Data for crystalline CaLaCd2Rh at its relaxed geometry.

Calculated values
- V (Å³/cell) = 149
- energy of formation from the pure elements (eV/atom) = -0.300

a b c (Å): 5.4076 5.4076 5.1046
angles (deg): 90.00 90.00 90.00
Last column: nearest neighbours and their distance in Å.
Atoms (fractional coordinates):
Ca: 0.0000 0.0000 0.0000  8 Cd 3.72, 4 La 3.82
La: 0.5000 0.5000 0.0000  2 Rh 2.55
Cd: 0.0000 0.5000 0.5000  2 Rh 2.70
Cd: 0.5000 0.0000 0.5000  2 Rh 2.70
Rh: 0.5000 0.5000 0.5000  2 La 2.55, 4 Cd 2.70

---

Entry 3:
## Ca2LaCdSb (GGA-PBE)

Data for crystalline Ca2LaCdSb at its relaxed geometry.

Calculated values
- V (Å³/cell) = 210
- energy relative to the elements, uncorrected (meV per atom) = -197

a b c (Å): 5.8308 5.8308 6.1630
angles (deg): 90.00 90.00 90.00
Last column: nearest neighbours and their distance in Å.
Atoms (fractional coordinates):
Ca: 0.0000 0.5000 0.0000  2 Sb 2.92
Ca: 0.5000 0.0000 0.0000  2 Sb 2.92
La: 0.0000 0.0000 0.5000  2 Sb 3.08
Cd: 0.5000 0.5000 0.5000  4 La 4.12, 8 Ca 4.24
Sb: 0.0000 0.0000 0.0000  4 Ca 2.92, 2 La 3.08